Material: Cs2HoHgF6
Method: DFT, PBE
State: optimized geometry

Output
D(E_F) = 0.170 states/eV/atom
Formation energy (no corrections) = -2916 meV/atom
Space group = Pmmn, No. 59

Structure (CIF):
```
data_Cs2HoHgF6
_chemical_formula_sum 'Cs4 Ho2 Hg2 F12'
_symmetry_space_group_name_H-M 'P 1'
_symmetry_Int_Tables_number 1
_cell_length_a 6.799
_cell_length_b 9.616
_cell_length_c 6.802
_cell_angle_alpha 90.00
_cell_angle_beta 90.00
_cell_angle_gamma 90.00
loop_
_symmetry_equiv_pos_as_xyz
'x,y,z'
loop_
_atom_site_label
_atom_site_type_symbol
_atom_site_fract_x
_atom_site_fract_y
_atom_site_fract_z
_atom_site_occupancy
Cs1 Cs 0.250 0.000 0.249 1
Cs2 Cs 0.250 0.500 0.249 1
Cs3 Cs 0.750 0.000 0.751 1
Cs4 Cs 0.750 0.500 0.751 1
Ho1 Ho 0.250 0.250 0.752 1
Ho2 Ho 0.750 0.750 0.248 1
Hg1 Hg 0.250 0.750 0.748 1
Hg2 Hg 0.750 0.250 0.252 1
F1 F 0.024 0.250 0.527 1
F2 F 0.024 0.250 0.978 1
F3 F 0.250 0.024 0.753 1
F4 F 0.250 0.476 0.753 1
F5 F 0.476 0.250 0.527 1
F6 F 0.476 0.250 0.978 1
F7 F 0.524 0.750 0.022 1
F8 F 0.524 0.750 0.473 1
F9 F 0.750 0.524 0.247 1
F10 F 0.750 0.976 0.247 1
F11 F 0.976 0.750 0.022 1
F12 F 0.976 0.750 0.473 1
```

=====

Material: LaGa3CoOs
Method: DFT, PBE
State: optimized geometry

Output
D(E_F) = 0.456 states/eV/atom
Space group = Cmcm, No. 63
Energy of formation from the pure elements = -0.230 eV per atom

Structure (CIF):
```
data_LaGa3CoOs
_chemical_formula_sum 'La2 Ga6 Co2 Os2'
_symmetry_space_group_name_H-M 'P 1'
_symmetry_Int_Tables_number 1
_cell_length_a 6.509
_cell_length_b 6.509
_cell_length_c 5.915
_cell_angle_alpha 90.00
_cell_angle_beta 90.00
_cell_angle_gamma 107.66
loop_
_symmetry_equiv_pos_as_xyz
'x,y,z'
loop_
_atom_site_label
_atom_site_type_symbol
_atom_site_fract_x
_atom_site_fract_y
_atom_site_fract_z
_atom_site_occupancy
La1 La 0.242 0.758 0.750 1
La2 La 0.758 0.242 0.250 1
Ga1 Ga 0.258 0.258 0.000 1
Ga2 Ga 0.258 0.258 0.500 1
Ga3 Ga 0.272 0.728 0.250 1
Ga4 Ga 0.728 0.272 0.750 1
Ga5 Ga 0.742 0.742 0.000 1
Ga6 Ga 0.742 0.742 0.500 1
Co1 Co 0.485 0.515 0.250 1
Co2 Co 0.515 0.485 0.750 1
Os1 Os 0.047 0.953 0.250 1
Os2 Os 0.953 0.047 0.750 1
```

=====

Material: MgB2S
Method: DFT, PBE
State: optimized geometry

Output
D(E_F) = 0.013 states/eV/atom
Formation energy (no corrections) = -379 meV/atom
Space group = Pm, No. 6

Structure (CIF):
```
data_MgB2S
_chemical_formula_sum 'Mg2 B4 S2'
_symmetry_space_group_name_H-M 'P 1'
_symmetry_Int_Tables_number 1
_cell_length_a 3.403
_cell_length_b 3.294
_cell_length_c 9.498
_cell_angle_alpha 90.00
_cell_angle_beta 92.92
_cell_angle_gamma 90.00
loop_
_symmetry_equiv_pos_as_xyz
'x,y,z'
loop_
_atom_site_label
_atom_site_type_symbol
_atom_site_fract_x
_atom_site_fract_y
_atom_site_fract_z
_atom_site_occupancy
Mg1 Mg 0.000 0.000 0.000 1
Mg2 Mg 0.474 0.500 0.655 1
B1 B 0.045 0.249 0.257 1
B2 B 0.045 0.751 0.257 1
B3 B 0.602 0.500 0.319 1
B4 B 0.765 0.000 0.384 1
S1 S 0.486 0.500 0.914 1
S2 S 0.961 0.000 0.581 1
```